(1)
VASP calculation (PBE) on a relaxed structure of K2NaSeI.

Computed properties:
* DOS(E_F): 0.000 states/eV/atom
* total magnetic moment: 0.00 Bohr magnetons per cell
* formation energy (no corrections): -1.144 eV/atom
* crystal system: tetragonal
* E: -2.854 eV per atom

a = 6.295 Å, b = 6.295 Å, c = 5.411 Å
α = 90.00°, β = 90.00°, γ = 90.00°
Space group P4/mmm (No. 123)
One atom of each set of equivalent atoms:
K (0.000, 0.500, 0.000)
Na (0.000, 0.000, 0.500)
Se (0.000, 0.000, 0.000)
I (0.500, 0.500, 0.500)

(2)
VASP calculation (PBE) on a relaxed structure of YSnAu.

Computed properties:
* DOS(E_F): 0.285 states/eV/atom
* total magnetic moment: 0.00 Bohr magnetons per cell
* formation energy from the elements: -0.703 eV per atom
* crystal system: trigonal
* E: -5.285 eV per atom

a = 4.7244 Å, b = 4.7244 Å, c = 24.2267 Å
α = 90.00°, β = 90.00°, γ = 120.00°
Space group R-3m (No. 166, hexagonal axes)
One atom of each set of equivalent atoms:
Y (0.0000, 0.0000, 0.0000)
Y (0.0000, 0.0000, 0.5000)
Sn (0.0000, 0.0000, 0.2459)
Au (0.0000, 0.0000, 0.3820)

(3)
VASP calculation (PBE) on a relaxed structure of In2TeOsPb.

Computed properties:
* DOS(E_F): 0.732 states/eV/atom
* total magnetic moment: 0.00 Bohr magnetons per cell
* formation energy (no corrections): 0.429 eV/atom
* crystal system: tetragonal
* E: -4.282 eV per atom

a = 5.243 Å, b = 5.243 Å, c = 5.228 Å
α = 90.00°, β = 90.00°, γ = 90.00°
Space group P4/mmm (No. 123)
One atom of each set of equivalent atoms:
In (0.000, 0.500, 0.000)
Te (0.000, 0.000, 0.500)
Os (0.000, 0.000, 0.000)
Pb (0.500, 0.500, 0.500)